Entry 1:
# CrReN2O

An optimized crystal structure of CrReN2O (PBE with a Hubbard U, Alexandria via LeMat-Bulk).

electronic total energy: -35.747 eV for the cell shown

Unit cell a=3.8510 b=3.8510 c=3.5487 alpha=90.00 beta=90.00 gamma=90.00
Space group P4/mmm (No. 123)
Unique sites:
1 Cr 0.0000 0.0000 0.0000 x1
2 Re 0.5000 0.5000 0.5000 x1
3 N 0.0000 0.5000 0.0000 x2
4 O 0.0000 0.0000 0.5000 x1


Entry 2:
# CrRhNO2

An optimized crystal structure of CrRhNO2 (PBE with a Hubbard U, Alexandria via LeMat-Bulk).

electronic total energy: -32.107 eV for the cell shown

Unit cell a=4.0735 b=4.0735 c=3.6554 alpha=90.00 beta=90.00 gamma=90.00
Space group P4/mmm (No. 123)
Unique sites:
1 Cr 0.0000 0.0000 0.0000 x1
2 Rh 0.5000 0.5000 0.5000 x1
3 N 0.5000 0.5000 0.0000 x1
4 O 0.0000 0.5000 0.5000 x2